## FePbO2 (PBE with a Hubbard U)

Data for crystalline FePbO2 at its relaxed geometry.

Results
magnetization	4.07	μB per formula unit
space group	I-42d, No. 122
total DFT energy (no corrections)	-46.10	eV for the cell shown

a b c (Å): 6.031 6.031 6.031
angles (deg): 127.32 127.32 77.73
Sites, in units of the cell vectors:
Fe1 0.000 0.000 0.000
Fe2 0.750 0.250 0.500
Pb1 0.250 0.750 0.500
Pb2 0.500 0.500 0.000
O1 0.028 0.625 0.903
O2 0.375 0.278 0.403
O3 0.722 0.125 0.097
O4 0.875 0.972 0.597